# 1
VASP calculation (PBE-GGA) on a relaxed Ce3GeSb crystal.

Geometry as POSCAR:
```
Ce3GeSb
1.0
7.363 0.001 -0.001
3.682 6.376 0.000
3.681 2.125 7.296
Ce Ge Sb
6 2 2
Direct
0.091 0.750 0.723
0.564 0.909 0.277
0.250 0.564 0.277
0.750 0.436 0.723
0.436 0.091 0.723
0.909 0.250 0.277
0.160 0.161 0.519
0.840 0.839 0.481
0.334 0.334 0.998
0.666 0.666 0.002
```

Calculated values
space-group type: No. 148
ΔE_f (raw): -10.65 kcal/mol of atoms
electronic total energy: -5.770 eV per atom

=====

# 2
VASP calculation (PBE-GGA) on a relaxed Ce4GeSb crystal.

Geometry as POSCAR:
```
Ce4GeSb
1.0
5.715 -0.337 0.000
-1.709 8.343 0.000
-2.003 -4.003 6.416
Ge Ce Sb
2 8 2
Direct
0.266 0.016 0.031
0.734 0.984 0.969
0.238 0.607 0.785
0.304 0.937 0.610
0.806 0.673 0.610
0.194 0.327 0.390
0.696 0.063 0.390
0.047 0.178 0.785
0.953 0.822 0.215
0.762 0.393 0.215
0.361 0.611 0.221
0.639 0.389 0.779
```

Calculated values
space-group type: No. 15
ΔE_f (raw): -12.69 kcal/mol of atoms
electronic total energy: -5.963 eV per atom

=====

# 3
VASP calculation (PBE-GGA) on a relaxed Ce7Ge3Sb crystal.

Geometry as POSCAR:
```
Ce7Ge3Sb
1.0
-1.539 -5.544 -1.188
0.805 1.240 7.698
-6.056 4.935 -0.652
Ce Ge Sb
7 3 1
Direct
0.850 0.850 0.850
0.000 0.500 0.500
0.650 0.915 0.386
0.350 0.085 0.614
0.350 0.614 0.085
0.150 0.150 0.150
0.650 0.386 0.915
0.000 0.237 0.763
0.500 0.000 0.000
0.000 0.763 0.237
0.500 0.500 0.500
```

Calculated values
space-group type: No. 71
ΔE_f (raw): -11.93 kcal/mol of atoms
electronic total energy: -5.927 eV per atom

=====

# 4
VASP calculation (PBE-GGA) on a relaxed Ce4GeSb2 crystal.

Geometry as POSCAR:
```
Ce4GeSb2
1.0
-1.662 -7.718 -1.073
7.912 0.835 0.430
-3.195 2.777 6.750
Ce Sb Ge
8 4 2
Direct
0.467 0.120 0.204
0.097 0.380 0.334
0.653 0.737 0.533
0.283 0.237 0.903
0.796 0.263 0.916
0.084 0.880 0.347
0.666 0.763 0.046
0.954 0.620 0.717
0.485 0.360 0.625
0.875 0.140 0.515
0.265 0.640 0.125
0.375 0.860 0.735
0.000 0.000 0.000
0.750 0.500 0.250
```

Calculated values
space-group type: No. 122
ΔE_f (raw): -19.45 kcal/mol of atoms
electronic total energy: -6.072 eV per atom

=====

# 5
VASP calculation (PBE-GGA) on a relaxed Ce7GeSb3 crystal.

Geometry as POSCAR:
```
Ce7GeSb3
1.0
5.960 -0.111 -0.142
-2.842 7.552 -0.030
-2.842 -1.860 7.320
Ce Sb Ge
7 3 1
Direct
0.644 0.894 0.394
0.844 0.844 0.844
0.000 0.500 0.500
0.156 0.156 0.156
0.356 0.106 0.606
0.644 0.394 0.894
0.356 0.606 0.106
0.500 0.000 0.000
0.000 0.239 0.761
0.000 0.761 0.239
0.500 0.500 0.500
```

Calculated values
space-group type: No. 71
ΔE_f (raw): -13.94 kcal/mol of atoms
electronic total energy: -5.925 eV per atom

=====

# 6
VASP calculation (PBE-GGA) on a relaxed Ce2GeSb3 crystal.

Geometry as POSCAR:
```
Ce2GeSb3
1.0
-0.263 4.276 -1.092
-4.350 0.871 4.458
7.133 -1.144 2.748
Ce Ge Sb
2 1 3
Direct
0.667 0.167 0.335
0.333 0.833 0.665
0.000 0.500 0.000
0.000 0.000 0.000
0.337 0.337 0.674
0.663 0.663 0.326
```

Calculated values
space-group type: No. 71
ΔE_f (raw): -12.32 kcal/mol of atoms
electronic total energy: -5.343 eV per atom

=====

Which of these has the highest electronic total energy? Ce2GeSb3

=====

Please write out number 3 again, unchanged.
VASP calculation (PBE-GGA) on a relaxed Ce7Ge3Sb crystal.

Geometry as POSCAR:
```
Ce7Ge3Sb
1.0
-1.539 -5.544 -1.188
0.805 1.240 7.698
-6.056 4.935 -0.652
Ce Ge Sb
7 3 1
Direct
0.850 0.850 0.850
0.000 0.500 0.500
0.650 0.915 0.386
0.350 0.085 0.614
0.350 0.614 0.085
0.150 0.150 0.150
0.650 0.386 0.915
0.000 0.237 0.763
0.500 0.000 0.000
0.000 0.763 0.237
0.500 0.500 0.500
```

Calculated values
space-group type: No. 71
ΔE_f (raw): -11.93 kcal/mol of atoms
electronic total energy: -5.927 eV per atom

=====

Number 4 is which compound? Ce4GeSb2

=====

The lowest electronic total energy belongs to which entry? Ce4GeSb2